Ni2GePdF | GGA+U | optimized geometry

Total DFT energy (no corrections): -3.359 eV per atom
Total magnetic moment: 2.0 μB per cell
Crystal system: tetragonal

CIF file:
```
data_Ni2GePdF
_chemical_formula_sum 'Ni2 Ge1 Pd1 F1'
_symmetry_space_group_name_H-M 'P 4/m m m'
_symmetry_Int_Tables_number 123
_symmetry_space_group_name_Hall '-P 4 2'
_cell_length_a 3.9428
_cell_length_b 3.9428
_cell_length_c 4.6747
_cell_angle_alpha 90.00
_cell_angle_beta 90.00
_cell_angle_gamma 90.00
loop_
_atom_site_label
_atom_site_type_symbol
_atom_site_fract_x
_atom_site_fract_y
_atom_site_fract_z
Ni1 Ni 0.0000 0.5000 0.0000
Ge1 Ge 0.0000 0.0000 0.5000
Pd1 Pd 0.5000 0.5000 0.5000
F1 F 0.0000 0.0000 0.0000
```